[1]
Material: Pm3Dy2ErAs6
Method: DFT, PBE
State: relaxed

Properties
E_form   -1.524 eV/atom

Unit cell a=4.1752 b=8.3417 c=9.3278 alpha=102.87 beta=102.93 gamma=90.00
Element x y z (fractional)
As (0.6683, 0.5792, 0.3366)
As (0.3317, 0.4208, 0.6634)
As (0.3356, 0.9129, 0.6711)
As (0.6644, 0.0871, 0.3289)
As (0.9985, 0.7558, 0.9970)
As (0.0015, 0.2442, 0.0030)
Pm (0.5000, 0.5000, 0.0000)
Pm (0.8332, 0.1665, 0.6664)
Pm (0.1668, 0.8335, 0.3336)
Dy (0.1665, 0.3331, 0.3330)
Dy (0.8335, 0.6669, 0.6670)
Er (0.5000, 0.0000, 0.0000)

[2]
Material: In8Ga5Pb
Method: DFT, PBE
State: relaxed

Properties
E_form   0.072 eV/atom

Unit cell a=7.7372 b=7.7372 c=7.7372 alpha=109.81 beta=109.81 gamma=108.81
Element x y z (fractional)
In (0.1258, 0.0630, 0.7505)
In (0.3126, 0.3754, 0.2495)
In (0.9370, 0.6874, 0.0628)
In (0.6454, 0.9027, 0.3981)
In (0.6246, 0.8742, 0.9372)
In (0.7527, 0.3546, 0.2573)
In (0.5046, 0.2473, 0.6019)
In (0.0973, 0.4954, 0.7427)
Ga (0.0360, 0.1287, 0.3638)
Ga (0.7650, 0.6723, 0.6362)
Ga (0.8713, 0.2350, 0.9073)
Ga (0.5000, 0.5000, 0.0000)
Ga (0.3277, 0.9640, 0.0927)
Pb (0.2500, 0.7500, 0.5000)

[3]
Material: AcCuRh2
Method: DFT, PBE
State: relaxed

Properties
E_form   -0.056 eV/atom

Unit cell a=3.4946 b=3.4946 c=6.1883 alpha=90.00 beta=90.00 gamma=90.00
Element x y z (fractional)
Rh (0.0000, 0.0000, 0.2843)
Rh (0.0000, 0.0000, 0.7157)
Ac (0.5000, 0.5000, 0.0000)
Cu (0.5000, 0.5000, 0.5000)

[4]
Material: Cs2BaAu2
Method: DFT, PBE
State: relaxed

Properties
E_form   -0.285 eV/atom
Offset from the most stable computed form   0.0 meV per atom

Unit cell a=9.3385 b=9.3385 c=5.2566 alpha=90.00 beta=90.00 gamma=90.00
Element x y z (fractional)
Ba (0.0000, 0.0000, 0.0000)
Ba (0.5000, 0.5000, 0.0000)
Cs (0.1450, 0.6450, 0.5000)
Cs (0.6450, 0.8550, 0.5000)
Cs (0.8550, 0.3550, 0.5000)
Cs (0.3550, 0.1450, 0.5000)
Au (0.3368, 0.8368, 0.0000)
Au (0.1632, 0.3368, 0.0000)
Au (0.6632, 0.1632, 0.0000)
Au (0.8368, 0.6632, 0.0000)

[5]
Material: ZrSnSCl2
Method: DFT, PBE
State: relaxed

Properties
Formation energy (no corrections)   -0.77 eV per atom
Offset from the most stable computed form   0.0 meV per atom

Unit cell a=5.0512 b=5.0512 c=5.0442 alpha=90.00 beta=90.00 gamma=90.00
Last column: magnetic moment on the atom in μB.
Element x y z (fractional)
Cl (0.0000, 0.5000, 0.0000)  0.01
Cl (0.5000, 0.0000, 0.0000)  0.01
S (0.0000, 0.0000, 0.5000)  0.00
Sn (0.5000, 0.5000, 0.5000)  0.12
Zr (0.0000, 0.0000, 0.0000)  -0.01

[6]
Material: La12Dy2Y5
Method: DFT, PBE
State: relaxed

Properties
E_form   0.181 eV/atom
Offset from the most stable computed form   68.1 meV per atom

Unit cell a=9.4548 b=12.0066 c=6.4228 alpha=89.16 beta=90.00 gamma=113.19
Element x y z (fractional)
La (0.0294, 0.4041, 0.1498)
La (0.9217, 0.2555, 0.6048)
La (0.9239, 0.8478, 0.9746)
La (0.5678, 0.1356, 0.4172)
La (0.6254, 0.5959, 0.8502)
La (0.3746, 0.4041, 0.1498)
La (0.0761, 0.1522, 0.0254)
La (0.9706, 0.5959, 0.8502)
La (0.3338, 0.2555, 0.6048)
La (0.0783, 0.7445, 0.3952)
La (0.6662, 0.7445, 0.3952)
La (0.4322, 0.8644, 0.5828)
Y (0.0000, 0.0000, 0.5000)
Y (0.2672, 0.5344, 0.6086)
Y (0.7328, 0.4656, 0.3914)
Y (0.6404, 0.2808, 0.9361)
Y (0.3596, 0.7192, 0.0639)
Dy (0.6849, 0.0000, 0.0000)
Dy (0.3151, 0.0000, 0.0000)

Number 1: calculated density 7.42 g/cm3. Number 2: calculated density 6.87 g/cm3. Number 3: calculated density 10.91 g/cm3. Number 4: calculated density 5.77 g/cm3. Number 5: calculated density 4.04 g/cm3. Number 6: calculated density 6.04 g/cm3.